# Na5LiFe2P2C2O14 (PBE+U, optimized geometry)
# calculated total energy: -6.43 eV/atom
data_Na5LiFe2P2C2O14
_cell_length_a 8.8749
_cell_length_b 6.6540
_cell_length_c 10.4446
_cell_angle_alpha 90.00
_cell_angle_beta 91.23
_cell_angle_gamma 90.00
_space_group_name_H-M_alt 'P 1 21 1'
_space_group_IT_number 4
loop_
_space_group_symop_operation_xyz
'x,y,z'
'-x,y+1/2,-z'
loop_
_atom_site_label
_atom_site_type_symbol
_atom_site_fract_x
_atom_site_fract_y
_atom_site_fract_z
Na1 Na 0.0823 0.0000 0.1196
Na2 Na 0.0833 0.0149 0.6182
Na3 Na 0.2649 0.2515 0.3785
Na4 Na 0.2649 0.7613 0.3763
Na5 Na 0.2659 0.7524 0.8724
Li1 Li 0.2961 0.2138 0.8884
Fe1 Fe 0.3453 0.4950 0.1093
Fe2 Fe 0.3481 0.5067 0.6088
P1 P 0.4143 0.0100 0.6463
P2 P 0.4197 0.9929 0.1467
C1 C 0.0465 0.5126 0.1374
C2 C 0.0623 0.5078 0.6381
O1 O 0.0827 0.0045 0.3533
O2 O 0.0985 0.0312 0.8553
O3 O 0.1123 0.5106 0.0272
O4 O 0.1253 0.5062 0.5259
O5 O 0.1313 0.4944 0.2409
O6 O 0.1497 0.5117 0.7393
O7 O 0.3176 0.8082 0.1139
O8 O 0.3184 0.8218 0.6095
O9 O 0.3185 0.1949 0.6038
O10 O 0.3284 0.1788 0.0953
O11 O 0.4245 0.4757 0.9164
O12 O 0.4311 0.5078 0.4190
O13 O 0.4388 0.0159 0.7959
O14 O 0.4423 0.0095 0.2946